BiTeAsBr2 after structural relaxation. Source: Alexandria via LeMat-Bulk, functional PBE.

## Properties
E_form (uncorrected) (eV per formula unit): 1.790
DOS at the Fermi energy (states/eV per cell): 4.43
Offset from the most stable computed form (meV per atom): 0
Mass density (kg/m3): 5216
M_tot (μB/atom): 0.1138

Lattice parameters (Å, degrees): 5.5199 5.5199 5.9694 90.00 90.00 90.00
Closest atoms and distances in Å follow each position.
Space group P4/mmm (No. 123)
Unique sites:
Bi 0.0000 0.0000 0.0000  4 Br 2.76, 2 As 2.98
Te 0.5000 0.5000 0.5000  4 As 3.90, 8 Br 4.07
As 0.0000 0.0000 0.5000  2 Bi 2.98
Br 0.0000 0.5000 0.0000  2 Bi 2.76